No. 1
K2CeSnS4: optimized geometry, PBE.

The value obtained for the calculated volume is 222 Å³ per cell. The value obtained for the magnetic moment is 0.017 μB/atom. The uncorrected formation energy comes out at -1.318 eV/atom. Its space group is P2/m. As for the electronic total energy: -39.183 eV/f.u.

Cell lengths 7.3125, 4.1801, 7.6260 Å; angles 90.00, 107.89, 90.00 degrees
Fractional positions:
1 K 0.0000 0.0000 0.0000
2 K 0.5000 0.5000 0.0000
3 Ce 0.0000 0.5000 0.5000
4 Sn 0.5000 0.0000 0.5000
5 S 0.2231 0.0000 0.7015
6 S 0.2468 0.5000 0.2972
7 S 0.7532 0.5000 0.7028
8 S 0.7769 0.0000 0.2985

No. 2
Ce2ThCo: optimized geometry, PBE.

The value obtained for the calculated volume is 192 Å³ per cell. The value obtained for the magnetic moment is 0.000 μB/atom. The energy relative to the elements is -0.17 eV/atom. Its space group is P2_1/m. As for the electronic total energy: -27.074 eV/f.u.

Cell lengths 3.5400, 9.7230, 5.8554 Å; angles 90.00, 107.49, 90.00 degrees
Fractional positions:
1 Ce 0.1372 0.0563 0.2750
2 Ce 0.1372 0.4437 0.2750
3 Ce 0.8628 0.5563 0.7250
4 Ce 0.8628 0.9437 0.7250
5 Th 0.4113 0.2500 0.8218
6 Th 0.5887 0.7500 0.1782
7 Co 0.2926 0.7500 0.5859
8 Co 0.7074 0.2500 0.4141

No. 3
Tb2Nd3Ho5: optimized geometry, PBE.

The value obtained for the calculated volume is 666 Å³ per cell. The value obtained for the magnetic moment is 0.000 μB/atom. The energy relative to the elements is 0.30 eV/atom. Its space group is Ibam. As for the electronic total energy: -43.500 eV/f.u.

Cell lengths 10.9727, 10.9727, 10.9727 Å; angles 112.74, 77.51, 146.07 degrees
Fractional positions:
1 Tb 0.1679 0.0940 0.2619
2 Tb 0.3321 0.5940 0.9261
3 Tb 0.6679 0.4060 0.0739
4 Tb 0.8321 0.9060 0.7381
5 Nd 0.1673 0.4115 0.5788
6 Nd 0.2500 0.2500 0.0000
7 Nd 0.3327 0.9115 0.2442
8 Nd 0.6673 0.0885 0.7558
9 Nd 0.7500 0.7500 0.0000
10 Nd 0.8327 0.5885 0.4212
11 Ho 0.1676 0.7598 0.9274
12 Ho 0.2500 0.5029 0.2529
13 Ho 0.2500 0.7500 0.5000
14 Ho 0.2500 0.9971 0.7471
15 Ho 0.3324 0.2598 0.5923
16 Ho 0.6676 0.7402 0.4077
17 Ho 0.7500 0.0029 0.2529
18 Ho 0.7500 0.2500 0.5000
19 Ho 0.7500 0.4971 0.7471
20 Ho 0.8324 0.2402 0.0726

No. 4
Tl5As2F12: optimized geometry, PBE.

The value obtained for the calculated volume is 391 Å³ per cell. The value obtained for the magnetic moment is 0.048 μB/atom. The uncorrected formation energy comes out at -1.830 eV/atom. Its space group is C2/m. As for the electronic total energy: -78.356 eV/f.u.

Cell lengths 7.7748, 7.7748, 8.4700 Å; angles 99.85, 99.85, 51.11 degrees
Fractional positions:
1 Tl 0.0000 0.0000 0.0000
2 Tl 0.2956 0.2956 0.6979
3 Tl 0.2970 0.2970 0.1346
4 Tl 0.7030 0.7030 0.8654
5 Tl 0.7044 0.7044 0.3021
6 As 0.2480 0.7520 0.5000
7 As 0.7520 0.2480 0.5000
8 F 0.0033 0.0033 0.6680
9 F 0.0969 0.6367 0.9509
10 F 0.1167 0.5977 0.4586
11 F 0.3633 0.9031 0.0491
12 F 0.4023 0.8833 0.5414
13 F 0.4990 0.4990 0.6575
14 F 0.5010 0.5010 0.3425
15 F 0.5977 0.1167 0.4586
16 F 0.6367 0.0969 0.9509
17 F 0.8833 0.4023 0.5414
18 F 0.9031 0.3633 0.0491
19 F 0.9967 0.9967 0.3320

No. 5
Zn3SnSb3: optimized geometry, PBE.

The value obtained for the calculated volume is 373 Å³ per cell. The value obtained for the magnetic moment is 0.000 μB/atom. The uncorrected formation energy comes out at 0.031 eV/atom. Its space group is R-3. As for the electronic total energy: -19.977 eV/f.u.

Cell lengths 8.7393, 8.7393, 8.7393 Å; angles 51.13, 51.13, 51.13 degrees
Fractional positions:
1 Zn 0.1395 0.7806 0.4692
2 Zn 0.2194 0.5308 0.8605
3 Zn 0.4692 0.1395 0.7806
4 Zn 0.5308 0.8605 0.2194
5 Zn 0.7806 0.4692 0.1395
6 Zn 0.8605 0.2194 0.5308
7 Sn 0.3374 0.3374 0.3374
8 Sn 0.6626 0.6626 0.6626
9 Sb 0.0730 0.4109 0.7594
10 Sb 0.2406 0.9270 0.5891
11 Sb 0.4109 0.7594 0.0730
12 Sb 0.5891 0.2406 0.9270
13 Sb 0.7594 0.0730 0.4109
14 Sb 0.9270 0.5891 0.2406

No. 6
Sm2GdCo: optimized geometry, PBE.

The value obtained for the calculated volume is 108 Å³ per cell. The value obtained for the magnetic moment is 1.829 μB/atom. The energy relative to the elements is 0.03 eV/atom. Its space group is P4/mmm. As for the electronic total energy: -30.496 eV/f.u.

Cell lengths 3.4789, 3.4789, 8.9613 Å; angles 90.00, 90.00, 90.00 degrees
Fractional positions:
1 Sm 0.0000 0.0000 0.1822
2 Sm 0.0000 0.0000 0.8178
3 Gd 0.5000 0.5000 0.5000
4 Co 0.5000 0.5000 0.0000

No. 7
CuHg2Os: optimized geometry, PBE.

The value obtained for the calculated volume is 69 Å³ per cell. The value obtained for the magnetic moment is 0.000 μB/atom. The energy relative to the elements is 0.73 eV/atom. Its space group is Pmmm. As for the electronic total energy: -13.025 eV/f.u.

Cell lengths 2.8244, 4.1047, 5.9420 Å; angles 90.00, 90.00, 90.00 degrees
Fractional positions:
1 Cu 0.0000 0.0000 0.0000
2 Hg 0.5000 0.5000 0.2455
3 Hg 0.5000 0.5000 0.7545
4 Os 0.0000 0.0000 0.5000

No. 8
ZrTaSi2: optimized geometry, PBE.

The value obtained for the calculated volume is 67 Å³ per cell. The value obtained for the magnetic moment is 0.000 μB/atom. The uncorrected formation energy comes out at -0.308 eV/atom. Its space group is Pmmm. As for the electronic total energy: -32.479 eV/f.u.

Cell lengths 3.0104, 3.6819, 6.0663 Å; angles 90.00, 90.00, 90.00 degrees
Fractional positions:
1 Zr 0.0000 0.0000 0.0000
2 Ta 0.0000 0.0000 0.5000
3 Si 0.5000 0.5000 0.2814
4 Si 0.5000 0.5000 0.7186

Please write out number 1 again, unchanged.
K2CeSnS4: optimized geometry, PBE.

The value obtained for the calculated volume is 222 Å³ per cell. The value obtained for the magnetic moment is 0.017 μB/atom. The uncorrected formation energy comes out at -1.318 eV/atom. Its space group is P2/m. As for the electronic total energy: -39.183 eV/f.u.

Cell lengths 7.3125, 4.1801, 7.6260 Å; angles 90.00, 107.89, 90.00 degrees
Fractional positions:
1 K 0.0000 0.0000 0.0000
2 K 0.5000 0.5000 0.0000
3 Ce 0.0000 0.5000 0.5000
4 Sn 0.5000 0.0000 0.5000
5 S 0.2231 0.0000 0.7015
6 S 0.2468 0.5000 0.2972
7 S 0.7532 0.5000 0.7028
8 S 0.7769 0.0000 0.2985

electronic total energy of number 4 (Tl5As2F12)? -78.356 eV/f.u.

The highest electronic total energy belongs to which entry? CuHg2Os